This record from Alexandria describes a geometry-optimized DyNpMn2O6 structure. The functional is PBE with a Hubbard U.

Results
V in Å³/f.u.: 168.8
Total energy in eV per cell: -84.01
N(E_F) in states/eV per atom: 0.466

Cell: 6.2956 6.2956 4.2582 Å, 90.00 90.00 90.00°
Space group P4mm (No. 99)
Symmetry-distinct sites (fractional):
1 Dy 0.0000 0.0000 0.0000
2 Np 0.5000 0.5000 0.0015
3 Mn 0.0000 0.5000 0.0039
4 O 0.0000 0.0000 0.5003
5 O 0.2587 0.2587 0.0019
6 O 0.5000 0.5000 0.5016